Material: KNa2NiF8
Method: DFT, PBE+U
State: relaxed

Output
Its space group is P-1 (2). For the raw total energy, the calculation gives -45.5 eV for the cell shown. The spin magnetization comes out at 0.081 μB per atom.

Structure (CIF):
```
data_KNa2NiF8
_symmetry_space_group_name_H-M 'P 1'
_symmetry_Int_Tables_number 1
_cell_length_a 4.637
_cell_length_b 5.237
_cell_length_c 7.116
_cell_angle_alpha 87.89
_cell_angle_beta 71.66
_cell_angle_gamma 84.53
loop_
_symmetry_equiv_pos_as_xyz
'x,y,z'
loop_
_atom_site_label
_atom_site_type_symbol
_atom_site_fract_x
_atom_site_fract_y
_atom_site_fract_z
K1 K 0.000 0.000 0.000
Na1 Na 0.356 0.477 0.308
Na2 Na 0.644 0.523 0.692
Ni1 Ni 0.000 0.000 0.500
F1 F 0.126 0.250 0.613
F2 F 0.208 0.755 0.602
F3 F 0.289 0.492 0.994
F4 F 0.320 0.017 0.277
F5 F 0.680 0.983 0.723
F6 F 0.711 0.508 0.006
F7 F 0.792 0.245 0.398
F8 F 0.874 0.750 0.387
```